First-principles (GGA-PBE) data for a relaxed structure of CdHg3P, as listed in the Alexandria database.

```
CdHg3P
1.0
5.5704 0.0000 0.0000
0.0000 5.5704 0.0000
0.0000 0.0000 5.5704
Cd Hg P
1 3 1
Cartesian
0.0000 0.0000 0.0000 Cd
0.0000 0.0000 2.7852 Hg
0.0000 2.7852 0.0000 Hg
2.7852 0.0000 0.0000 Hg
2.7852 2.7852 2.7852 P
```

## Properties
E above lowest polymorph: 429.8 meV/atom

***

First-principles (GGA-PBE) data for a relaxed structure of InAgPd3, as listed in the Alexandria database.

```
InAgPd3
1.0
4.9424 0.0000 0.0000
0.0000 4.9424 0.0000
0.0000 0.0000 4.9424
In Ag Pd
1 1 3
Cartesian
0.0000 0.0000 0.0000 In
2.4712 2.4712 2.4712 Ag
0.0000 0.0000 2.4712 Pd
0.0000 2.4712 0.0000 Pd
2.4712 0.0000 0.0000 Pd
```

## Properties
E above lowest polymorph: 954.5 meV/atom

***

First-principles (GGA-PBE) data for a relaxed structure of SrMgTc2, as listed in the Alexandria database.

```
SrMgTc2
1.0
9.6263 0.0000 0.0000
0.0000 3.8610 0.0000
-2.0725 0.0000 5.4436
Sr Mg Tc
2 2 4
Cartesian
0.0000 0.0000 0.0000 Sr
4.8132 1.9305 0.0000 Sr
-1.0362 1.9305 2.7218 Mg
3.7769 0.0000 2.7218 Mg
1.0081 0.0000 3.2840 Tc
1.7326 1.9305 2.1596 Tc
5.8212 1.9305 3.2840 Tc
6.5457 0.0000 2.1596 Tc
```

***

no.,density (g/cm3),electronic total energy (eV/cell),ΔE_f (eV per atom)
1,7.16,-3.76,0.694
2,7.45,-17.98,0.638
3,5.05,-44.05,0.495